No. 1
The following is a PBE calculation of a geometry-optimized DyNbGa2O8 structure, from Alexandria via LeMat-Bulk.

The structure belongs to space group I-4m2 (No. 119); the cell edges are 6.844, 6.844 and 6.522 Å and the angles 90.00°, 90.00° and 90.00°. Symmetry generates all atoms from Dy at (0.000, 0.000, 0.000), Nb at (0.000, 0.500, 0.750), Ga at (0.000, 0.000, 0.500), Ga at (0.000, 0.500, 0.250), O at (0.000, 0.204, 0.686) and O at (0.000, 0.325, 0.036).

The density of states at the Fermi level comes out at 19.21 states/eV/cell. The calculation puts the formation energy from raw total energies at -2000 meV/atom. For the calculated total energy, the calculation gives -168.79 eV per cell.

***

No. 2
The following is a PBE calculation of a geometry-optimized Dy2NbGa2Ru5 structure, from Alexandria via LeMat-Bulk.

The structure belongs to space group P4/mbm (No. 127); the cell edges are 10.101, 10.101 and 3.352 Å and the angles 90.00°, 90.00° and 90.00°. Symmetry generates all atoms from Dy at (0.171, 0.329, 0.000), Nb at (0.000, 0.000, 0.000), Ga at (0.128, 0.628, 0.000), Ru at (0.000, 0.500, 0.500) and Ru at (0.067, 0.802, 0.500).

The density of states at the Fermi level comes out at 16.44 states/eV/cell. For the calculated total energy, the calculation gives -150.91 eV per cell.

***

No. 3
The following is a PBE calculation of a geometry-optimized Nd2Dy6Ga structure, from Alexandria via LeMat-Bulk.

The structure belongs to space group Immm (No. 71); the cell edges are 3.557, 10.169 and 15.425 Å and the angles 90.00°, 90.00° and 90.00°. Symmetry generates all atoms from Nd at (0.000, 0.000, 0.141), Dy at (0.000, 0.263, 0.500), Dy at (0.000, 0.343, 0.179) and Ga at (0.000, 0.500, 0.000).

The density of states at the Fermi level comes out at 21.02 states/eV/cell. For the calculated total energy, the calculation gives -80.61 eV per cell.

***

No. 4
The following is a PBE calculation of a geometry-optimized Nd4Dy3Ga4 structure, from Alexandria via LeMat-Bulk.

The structure belongs to space group Immm (No. 71); the cell edges are 3.563, 9.101 and 18.450 Å and the angles 90.00°, 90.00° and 90.00°. Symmetry generates all atoms from Nd at (0.000, 0.176, 0.166), Dy at (0.000, 0.000, 0.407), Dy at (0.000, 0.500, 0.500), Ga at (0.000, 0.277, 0.000) and Ga at (0.000, 0.500, 0.222).

The density of states at the Fermi level comes out at 17.58 states/eV/cell. For the calculated total energy, the calculation gives -98.97 eV per cell.

***

No. 5
The following is a PBE calculation of a geometry-optimized Nd5Dy2Ga4 structure, from Alexandria via LeMat-Bulk.

The structure belongs to space group C2/m (No. 12); the cell edges are 23.075, 3.588 and 7.952 Å and the angles 90.00°, 108.69° and 90.00°. Symmetry generates all atoms from Nd at (0.000, 0.000, 0.000), Nd at (0.129, 0.500, 0.324), Nd at (0.146, 0.500, 0.910), Dy at (0.224, 0.000, 0.668), Ga at (0.005, 0.500, 0.674) and Ga at (0.080, 0.000, 0.574).

The density of states at the Fermi level comes out at 24.26 states/eV/cell. For the calculated total energy, the calculation gives -93.53 eV per cell.

***

No. 6
The following is a PBE calculation of a geometry-optimized NdDy6Ga3 structure, from Alexandria via LeMat-Bulk.

The structure belongs to space group Cmc2_1 (No. 36); the cell edges are 10.733, 12.714 and 8.298 Å and the angles 90.00°, 90.00° and 90.00°. Symmetry generates all atoms from Nd at (0.000, 0.171, 0.000), Dy at (0.000, 0.276, 0.513), Dy at (0.000, 0.467, 0.839), Dy at (0.167, 0.067, 0.363), Dy at (0.235, 0.323, 0.222), Ga at (0.000, 0.070, 0.664) and Ga at (0.201, 0.419, 0.561).

The density of states at the Fermi level comes out at 47.56 states/eV/cell. For the calculated total energy, the calculation gives -178.10 eV per cell.

***

Please write out number 5 again, unchanged.
The following is a PBE calculation of a geometry-optimized Nd5Dy2Ga4 structure, from Alexandria via LeMat-Bulk.

The structure belongs to space group C2/m (No. 12); the cell edges are 23.075, 3.588 and 7.952 Å and the angles 90.00°, 108.69° and 90.00°. Symmetry generates all atoms from Nd at (0.000, 0.000, 0.000), Nd at (0.129, 0.500, 0.324), Nd at (0.146, 0.500, 0.910), Dy at (0.224, 0.000, 0.668), Ga at (0.005, 0.500, 0.674) and Ga at (0.080, 0.000, 0.574).

The density of states at the Fermi level comes out at 24.26 states/eV/cell. For the calculated total energy, the calculation gives -93.53 eV per cell.

***

Copy entry 6 word for word.
The following is a PBE calculation of a geometry-optimized NdDy6Ga3 structure, from Alexandria via LeMat-Bulk.

The structure belongs to space group Cmc2_1 (No. 36); the cell edges are 10.733, 12.714 and 8.298 Å and the angles 90.00°, 90.00° and 90.00°. Symmetry generates all atoms from Nd at (0.000, 0.171, 0.000), Dy at (0.000, 0.276, 0.513), Dy at (0.000, 0.467, 0.839), Dy at (0.167, 0.067, 0.363), Dy at (0.235, 0.323, 0.222), Ga at (0.000, 0.070, 0.664) and Ga at (0.201, 0.419, 0.561).

The density of states at the Fermi level comes out at 47.56 states/eV/cell. For the calculated total energy, the calculation gives -178.10 eV per cell.